HRuN2F (PBE, relaxed); distance to the lowest polymorph of the same formula = 631 meV/atom; Fermi-level density of states = 3.900 states/eV/f.u.; calculated volume = 38.35 Å³ per cell; space group = P4/mmm, No. 123; spin magnetization = 0.0604 μB/atom
1.0
3.2130 0.0000 0.0000
0.0000 3.2130 0.0000
0.0000 0.0000 3.7147
H Ru N F
1 1 2 1
Direct
0.0000 0.0000 0.0000
0.5000 0.5000 0.5000
0.0000 0.5000 0.0000
0.5000 0.0000 0.0000
0.0000 0.0000 0.5000

***

SbHNF (PBE, relaxed); distance to the lowest polymorph of the same formula = 0 meV/atom; Fermi-level density of states = 0.000 states/eV/f.u.; calculated volume = 62.70 Å³ per cell; space group = P1, No. 1; spin magnetization = 0.0000 μB/atom
1.0
3.2870 0.0000 0.0000
0.0045 4.2232 0.0000
1.6207 1.2284 4.5167
Sb H N F
1 1 1 1
Direct
0.0000 0.0000 0.0000
0.3531 0.5291 0.2999
0.4553 0.6886 0.0917
0.7960 0.0598 0.4132

***

SbHNF (PBE, relaxed); distance to the lowest polymorph of the same formula = 533 meV/atom; Fermi-level density of states = 0.000 states/eV/f.u.; calculated volume = 62.15 Å³ per cell; space group = P1, No. 1; spin magnetization = 0.0000 μB/atom
1.0
3.2559 0.0000 0.0000
0.0002 4.2875 0.0000
0.0474 2.0988 4.4522
Sb H N F
1 1 1 1
Direct
0.0000 0.0000 0.0000
0.0074 0.1887 0.6152
0.4964 0.8795 0.2468
0.0003 0.5328 0.9337